DFT (GGA-PBE) results for an optimized crystal structure of TaAsOs2.

Values from the calculation:
* electronic total energy: -9.568 eV per atom
* total magnetic moment: 0.00 μB/cell
* N(E_F): 0.75 states/eV/atom
* space group: No. 166
* volume: 15.78 Å³/atom
* energy of formation: 0.17 eV/atom

Cell: 8.6172 8.6172 8.6172 Å, 19.63 19.63 19.63°
Fractional positions:
Os  0.4980  0.4980  0.4980
As  0.7500  0.7500  0.7500
Ta  0.2500  0.2500  0.2500
Os  0.0020  0.0020  0.0020